Run i
An optimized crystal structure of TiAsAuSe2, computed with GGA-PBE.

The structure in POSCAR format:
```
TiAsAuSe2
1.0
5.0732 0.0000 0.0000
0.0000 5.0732 0.0000
0.0000 0.0000 4.8916
Au Ti As Se
1 1 1 2
Direct
0.0000 0.0000 0.0000
0.5000 0.5000 0.5000
0.0000 0.0000 0.5000
0.0000 0.5000 0.0000
0.5000 0.0000 0.0000
```

Space-group type: P4/mmm, No. 123
Calculated volume, Å³ per cell: 125.9

---

Run ii
An optimized crystal structure of TiAsAuSe2, computed with GGA-PBE.

The structure in POSCAR format:
```
TiAsAuSe2
1.0
4.8667 0.0000 0.0000
0.0000 4.8667 0.0000
0.0000 0.0000 4.9841
Ti Au Se As
1 1 2 1
Direct
0.0000 0.0000 0.0000
0.5000 0.5000 0.5000
0.5000 0.0000 0.0000
0.0000 0.5000 0.0000
0.0000 0.0000 0.5000
```

Space-group type: P4/mmm, No. 123
Calculated volume, Å³ per cell: 118.0

---

List of relative energies, unit eV/atom: run i 0.623; run ii 0.000

---

Run i
An optimized crystal structure of AsWAuSe2, computed with GGA-PBE.

The structure in POSCAR format:
```
AsWAuSe2
1.0
-4.6837 -1.8552 0.1858
1.1214 -2.4017 4.2880
-1.4422 3.8974 2.5601
W Se As Au
1 2 1 1
Direct
0.5000 0.5000 0.5000
0.5000 0.0000 0.0000
0.0000 0.5000 0.0000
0.0000 0.0000 0.5000
0.0000 0.0000 0.0000
```

Space-group type: P4/mmm, No. 123
Calculated volume, Å³ per cell: 124.0

---

Run ii
An optimized crystal structure of AsWAuSe2, computed with GGA-PBE.

The structure in POSCAR format:
```
AsWAuSe2
1.0
-3.2495 -0.7406 3.5117
3.5612 -1.2531 3.0311
0.4665 4.8383 1.4521
Se As W Au
2 1 1 1
Direct
0.5000 0.0000 0.0000
0.0000 0.5000 0.0000
0.0000 0.0000 0.5000
0.0000 0.0000 0.0000
0.5000 0.5000 0.5000
```

Space-group type: P4/mmm, No. 123
Calculated volume, Å³ per cell: 118.9

---

List of relative energies, unit eV/atom: run i 0.950; run ii 0.000

---

Run i
An optimized crystal structure of ZnAsAuSe2, computed with GGA-PBE.

The structure in POSCAR format:
```
ZnAsAuSe2
1.0
-0.9815 -3.4307 3.4185
-3.4042 -1.9922 -2.9768
3.3186 -2.8382 -1.8955
As Au Se Zn
1 1 2 1
Direct
0.0000 0.0000 0.5000
0.5000 0.5000 0.5000
0.0000 0.5000 0.0000
0.5000 0.0000 0.0000
0.0000 0.0000 0.0000
```

Space-group type: P4/mmm, No. 123
Calculated volume, Å³ per cell: 116.2

---

Run ii
An optimized crystal structure of ZnAsAuSe2, computed with GGA-PBE.

The structure in POSCAR format:
```
ZnAsAuSe2
1.0
-1.3574 3.2962 3.8449
-3.4399 -3.5216 1.8046
3.4416 -1.9031 2.8465
Zn As Se Au
1 1 2 1
Direct
0.5000 0.5000 0.5000
0.0000 0.0000 0.5000
0.5000 0.0000 0.0000
0.0000 0.5000 0.0000
0.0000 0.0000 0.0000
```

Space-group type: P4/mmm, No. 123
Calculated volume, Å³ per cell: 133.5

---

List of relative energies, unit eV/atom: run i 0.000; run ii 0.015

---

Run i
An optimized crystal structure of ZrAsAuSe2, computed with GGA-PBE.

The structure in POSCAR format:
```
ZrAsAuSe2
1.0
-0.6465 -5.0575 -0.7211
0.9875 0.5894 -5.0193
5.1512 -0.7898 0.9208
Se Zr As Au
2 1 1 1
Direct
0.0000 0.5000 0.0000
0.5000 0.0000 0.0000
0.0000 0.0000 0.0000
0.0000 0.0000 0.5000
0.5000 0.5000 0.5000
```

Space-group type: P4/mmm, No. 123
Calculated volume, Å³ per cell: 140.3

---

Run ii
An optimized crystal structure of ZrAsAuSe2, computed with GGA-PBE.

The structure in POSCAR format:
```
ZrAsAuSe2
1.0
-1.7701 2.8601 -3.7115
3.2431 -2.1157 -3.1772
-3.3315 -3.4733 -1.0877
Zr Se As Au
1 2 1 1
Direct
0.5000 0.5000 0.5000
0.0000 0.5000 0.0000
0.5000 0.0000 0.0000
0.0000 0.0000 0.5000
0.0000 0.0000 0.0000
```

Space-group type: P4/mmm, No. 123
Calculated volume, Å³ per cell: 123.8

---

List of relative energies, unit eV/atom: run i 0.000; run ii 0.339

---

Run i
An optimized crystal structure of ZrAs2AuSe, computed with GGA-PBE.

The structure in POSCAR format:
```
ZrAs2AuSe
1.0
-3.7895 -2.9967 -0.9241
1.9699 -1.1470 -4.3587
2.5093 -3.8340 2.1430
Zr Se As Au
1 1 2 1
Direct
0.5000 0.5000 0.5000
0.0000 0.0000 0.5000
0.0000 0.5000 0.0000
0.5000 0.0000 0.0000
0.0000 0.0000 0.0000
```

Space-group type: P4/mmm, No. 123
Calculated volume, Å³ per cell: 122.4

---

Run ii
An optimized crystal structure of ZrAs2AuSe, computed with GGA-PBE.

The structure in POSCAR format:
```
ZrAs2AuSe
1.0
-1.4499 -2.4521 4.3773
2.8949 -3.9973 -1.2803
4.0474 2.1212 2.5289
As Au Se Zr
2 1 1 1
Direct
0.5000 0.0000 0.0000
0.0000 0.0000 0.5000
0.5000 0.5000 0.5000
0.0000 0.5000 0.0000
0.0000 0.0000 0.0000
```

Space-group type: P4/mmm, No. 123
Calculated volume, Å³ per cell: 139.1

---

List of relative energies, unit eV/atom: run i 0.259; run ii 0.000

---

Run i
An optimized crystal structure of SiAsAu, computed with GGA-PBE.

The structure in POSCAR format:
```
SiAsAu
1.0
-1.2073 -1.6125 -3.9247
1.0861 -4.1270 -1.1178
-3.1168 -3.1126 -0.2417
Si As Au
1 1 1
Direct
0.0000 0.0000 0.0000
0.5000 0.5000 0.5000
0.7500 0.7500 0.7500
```

Space-group type: F-43m, No. 216
Calculated volume, Å³ per cell: 60.7

---

Run ii
An optimized crystal structure of SiAsAu, computed with GGA-PBE.

The structure in POSCAR format:
```
SiAsAu
1.0
-1.3601 -1.8074 2.9037
3.6419 0.3048 -0.4373
-0.0381 4.0175 2.4829
Si As Au
1 1 1
Direct
0.3333 0.6667 0.6796
0.0000 0.0000 0.9611
0.6667 0.3333 0.3593
```

Space-group type: P3m1, No. 156
Calculated volume, Å³ per cell: 55.4

---

List of relative energies, unit eV/atom: run i 0.170; run ii 0.000

---

Run i
An optimized crystal structure of SiAsAu2, computed with GGA-PBE.

The structure in POSCAR format:
```
SiAsAu2
1.0
-1.9418 3.0874 -5.0082
-5.7039 0.8668 -2.2581
3.7294 0.2460 4.9413
Au Si As
2 1 1
Direct
0.4407 0.4407 0.0000
0.0593 0.0593 0.0000
0.2500 0.7500 0.5000
0.7500 0.2500 0.5000
```

Space-group type: Immm, No. 71
Calculated volume, Å³ per cell: 74.8

---

Run ii
An optimized crystal structure of SiAsAu2, computed with GGA-PBE.

The structure in POSCAR format:
```
SiAsAu2
1.0
3.9985 0.0000 0.0000
0.0000 4.4563 0.0000
0.0000 0.0000 4.0581
Si As Au
1 1 2
Direct
0.5000 0.0000 0.5000
0.0000 0.5000 0.5000
0.5000 0.5000 0.0000
0.0000 0.0000 0.0000
```

Space-group type: Pmmm, No. 47
Calculated volume, Å³ per cell: 72.3

---

Run iii
An optimized crystal structure of SiAsAu2, computed with GGA-PBE.

The structure in POSCAR format:
```
SiAsAu2
1.0
-0.7946 5.3857 -0.2335
0.0018 -2.4697 4.8571
2.4083 1.9012 2.5570
As Au Si
1 2 1
Direct
0.0000 0.5000 0.5000
0.0000 0.0000 0.0000
0.5000 0.5000 0.0000
0.5000 0.0000 0.5000
```

Space-group type: C2/m, No. 12
Calculated volume, Å³ per cell: 73.9

---

List of relative energies, unit eV/atom: run i 0.072; run ii 0.125; run iii 0.000

---

Run i
An optimized crystal structure of SiAs3Au, computed with GGA-PBE.

The structure in POSCAR format:
```
SiAs3Au
1.0
-2.4787 -3.6579 1.7111
4.0234 -2.0642 1.4156
-0.3474 2.1934 4.1858
Si As Au
1 3 1
Direct
0.0000 0.0000 0.0000
0.0000 0.0000 0.5000
0.0000 0.5000 0.0000
0.5000 0.0000 0.0000
0.5000 0.5000 0.5000
```

Space-group type: Pm-3m, No. 221
Calculated volume, Å³ per cell: 106.4

---

Run ii
An optimized crystal structure of SiAs3Au, computed with GGA-PBE.

The structure in POSCAR format:
```
SiAs3Au
1.0
5.0256 0.0000 0.0000
0.0000 5.0256 0.0000
0.0000 0.0000 5.0256
Au As Si
1 3 1
Direct
0.0000 0.0000 0.0000
0.0000 0.5000 0.0000
0.0000 0.0000 0.5000
0.5000 0.0000 0.0000
0.5000 0.5000 0.5000
```

Space-group type: Pm-3m, No. 221
Calculated volume, Å³ per cell: 126.9

---

List of relative energies, unit eV/atom: run i 0.000; run ii 0.350